10
Lattice="4.3873 0.0000 0.0000 0.0000 4.3873 0.0000 0.0000 0.0000 10.0806" Properties=species:S:1:pos:R:3 comment="Nd2Al3GaPd4 (PBE-GGA, relaxed)" spacegroup="No. 115" formation_energy_ev_per_atom=-0.846 rho_g_cm3=7.40 m_tot_mub_per_fu=0.000 energy_ev_per_atom=-5.302 pbc="T T T"
Nd 2.1937 0.0000 2.5369
Nd 0.0000 2.1937 7.5437
Al 0.0000 0.0000 5.0403
Al 2.1937 0.0000 8.8247
Al 0.0000 2.1937 1.2559
Ga 2.1937 2.1937 5.0403
Pd 2.1937 2.1937 0.0000
Pd 0.0000 0.0000 0.0000
Pd 2.1937 0.0000 6.3553
Pd 0.0000 2.1937 3.7253